Here is MnSnH2Cl at its PBEsol-relaxed geometry from Alexandria via LeMat-Bulk. Energies are from SCAN.

Summary:
**E**: -13.200 eV/atom

Lattice parameters (Å, degrees): 3.551 3.551 7.617 90.00 90.00 90.00
Space group P4/mmm (No. 123)
One atom of each set of equivalent atoms:
Mn  0.000  0.000  0.000
Sn  0.500  0.500  0.000
H  0.000  0.500  0.500
Cl  0.500  0.500  0.500